(1)
The following is a GGA-PBE calculation of an optimized crystal structure of SrSn2Pt, from the Alexandria database.

Results
- Calculated total energy: -0.156 Ha/atom
- D(E_F): 0.171 states/eV per atom
- Size of the total moment: 0.000 μB per cell

Unit cell a=5.1432 b=5.1432 c=5.1432 alpha=60.00 beta=60.00 gamma=60.00
Element x y z (fractional)
Sr 0.0000 0.0000 0.0000
Sn 0.2500 0.2500 0.2500
Sn 0.7500 0.7500 0.7500
Pt 0.5000 0.5000 0.5000


(2)
The following is a GGA-PBE calculation of an optimized crystal structure of Sr2TbSn4Pt3, from the Alexandria database.

Results
- Calculated total energy: -0.182 Ha/atom
- D(E_F): 0.572 states/eV per atom
- Size of the total moment: 0.000 μB per cell

Unit cell a=4.5487 b=4.5487 c=12.2909 alpha=90.00 beta=90.00 gamma=90.00
Element x y z (fractional)
Sr 0.0000 0.5000 0.2353
Sr 0.5000 0.0000 0.7647
Tb 0.0000 0.0000 0.5000
Sn 0.0000 0.0000 0.0000
Sn 0.0000 0.5000 0.6608
Sn 0.5000 0.0000 0.3392
Sn 0.5000 0.5000 0.0000
Pt 0.0000 0.5000 0.8783
Pt 0.5000 0.0000 0.1217
Pt 0.5000 0.5000 0.5000


(3)
The following is a GGA-PBE calculation of an optimized crystal structure of Sr2ThSn3Pt4, from the Alexandria database.

Results
- Calculated total energy: -0.204 Ha/atom
- D(E_F): 0.566 states/eV per atom
- Size of the total moment: 0.000 μB per cell

Unit cell a=4.7747 b=4.7747 c=11.0381 alpha=90.00 beta=90.00 gamma=90.00
Element x y z (fractional)
Sr 0.0000 0.5000 0.2214
Sr 0.5000 0.0000 0.7786
Th 0.0000 0.0000 0.5000
Sn 0.0000 0.5000 0.8831
Sn 0.5000 0.0000 0.1169
Sn 0.5000 0.5000 0.5000
Pt 0.0000 0.0000 0.0000
Pt 0.0000 0.5000 0.6421
Pt 0.5000 0.0000 0.3579
Pt 0.5000 0.5000 0.0000


(4)
The following is a GGA-PBE calculation of an optimized crystal structure of Sr2TiSn3Pt4, from the Alexandria database.

Results
- Calculated total energy: -0.203 Ha/atom
- D(E_F): 0.665 states/eV per atom
- Size of the total moment: 0.879 μB per cell

Unit cell a=4.5953 b=4.5953 c=10.8849 alpha=90.00 beta=90.00 gamma=90.00
Element x y z (fractional)
Sr 0.0000 0.5000 0.2445
Sr 0.5000 0.0000 0.7555
Ti 0.0000 0.0000 0.5000
Sn 0.0000 0.5000 0.8714
Sn 0.5000 0.0000 0.1286
Sn 0.5000 0.5000 0.5000
Pt 0.0000 0.0000 0.0000
Pt 0.0000 0.5000 0.6271
Pt 0.5000 0.0000 0.3729
Pt 0.5000 0.5000 0.0000


(5)
The following is a GGA-PBE calculation of an optimized crystal structure of Sr2TlSn3Pt4, from the Alexandria database.

Results
- Calculated total energy: -0.180 Ha/atom
- D(E_F): 0.658 states/eV per atom
- Size of the total moment: 0.000 μB per cell

Unit cell a=4.7267 b=4.7267 c=10.7913 alpha=90.00 beta=90.00 gamma=90.00
Element x y z (fractional)
Sr 0.0000 0.5000 0.2415
Sr 0.5000 0.0000 0.7585
Tl 0.0000 0.0000 0.5000
Sn 0.0000 0.5000 0.8797
Sn 0.5000 0.0000 0.1203
Sn 0.5000 0.5000 0.5000
Pt 0.0000 0.0000 0.0000
Pt 0.0000 0.5000 0.6359
Pt 0.5000 0.0000 0.3641
Pt 0.5000 0.5000 0.0000


(6)
The following is a GGA-PBE calculation of an optimized crystal structure of Sr2TlSnPt, from the Alexandria database.

Results
- Calculated total energy: -0.135 Ha/atom
- D(E_F): 0.655 states/eV per atom
- Size of the total moment: 0.000 μB per cell

Unit cell a=5.9090 b=5.9090 c=5.0776 alpha=90.00 beta=90.00 gamma=90.00
Element x y z (fractional)
Sr 0.0000 0.5000 0.0000
Sr 0.5000 0.0000 0.0000
Tl 0.0000 0.0000 0.5000
Sn 0.5000 0.5000 0.5000
Pt 0.5000 0.5000 0.0000


(7)
The following is a GGA-PBE calculation of an optimized crystal structure of Sr2TmSn3Pt4, from the Alexandria database.

Results
- Calculated total energy: -0.194 Ha/atom
- D(E_F): 0.459 states/eV per atom
- Size of the total moment: 0.000 μB per cell

Unit cell a=4.6607 b=4.6607 c=11.1422 alpha=90.00 beta=90.00 gamma=90.00
Element x y z (fractional)
Sr 0.0000 0.5000 0.2306
Sr 0.5000 0.0000 0.7694
Tm 0.0000 0.0000 0.5000
Sn 0.0000 0.5000 0.8781
Sn 0.5000 0.0000 0.1219
Sn 0.5000 0.5000 0.5000
Pt 0.0000 0.0000 0.0000
Pt 0.0000 0.5000 0.6393
Pt 0.5000 0.0000 0.3607
Pt 0.5000 0.5000 0.0000


(8)
The following is a GGA-PBE calculation of an optimized crystal structure of Sr2ZnSn4Pt3, from the Alexandria database.

Results
- Calculated total energy: -0.168 Ha/atom
- D(E_F): 0.471 states/eV per atom
- Size of the total moment: 0.000 μB per cell

Unit cell a=4.6650 b=4.6650 c=10.9635 alpha=90.00 beta=90.00 gamma=90.00
Element x y z (fractional)
Sr 0.0000 0.5000 0.2439
Sr 0.5000 0.0000 0.7561
Zn 0.5000 0.5000 0.0000
Sn 0.0000 0.0000 0.5000
Sn 0.0000 0.5000 0.8692
Sn 0.5000 0.0000 0.1308
Sn 0.5000 0.5000 0.5000
Pt 0.0000 0.0000 0.0000
Pt 0.0000 0.5000 0.6263
Pt 0.5000 0.0000 0.3737


(9)
The following is a GGA-PBE calculation of an optimized crystal structure of Sr2Zn3SnPt4, from the Alexandria database.

Results
- Calculated total energy: -0.156 Ha/atom
- D(E_F): 0.319 states/eV per atom
- Size of the total moment: 0.000 μB per cell

Unit cell a=4.3676 b=4.3676 c=10.9282 alpha=90.00 beta=90.00 gamma=90.00
Element x y z (fractional)
Sr 0.0000 0.5000 0.2326
Sr 0.5000 0.0000 0.7674
Zn 0.0000 0.5000 0.8739
Zn 0.5000 0.0000 0.1261
Zn 0.5000 0.5000 0.5000
Sn 0.0000 0.0000 0.5000
Pt 0.0000 0.0000 0.0000
Pt 0.0000 0.5000 0.6406
Pt 0.5000 0.0000 0.3594
Pt 0.5000 0.5000 0.0000


(10)
The following is a GGA-PBE calculation of an optimized crystal structure of Sr2ZnSnPt6, from the Alexandria database.

Results
- Calculated total energy: -0.187 Ha/atom
- D(E_F): 0.522 states/eV per atom
- Size of the total moment: 0.000 μB per cell

Unit cell a=6.8963 b=6.8963 c=8.8525 alpha=129.45 beta=129.45 gamma=47.45
Element x y z (fractional)
Sr 0.2419 0.2419 0.2842
Sr 0.7581 0.7581 0.7158
Zn 0.5000 0.5000 0.0000
Sn 0.0000 0.0000 0.5000
Pt 0.2470 0.7354 0.2395
Pt 0.2526 0.2526 0.9127
Pt 0.2646 0.7530 0.7605
Pt 0.7354 0.2470 0.2395
Pt 0.7474 0.7474 0.0873
Pt 0.7530 0.2646 0.7605